Compound: SmYEr2Th
Source: Alexandria
Functional: PBE-GGA
Structure: relaxed

a b c (Å): 8.3189 6.2665 6.7060
angles (deg): 90.00 99.18 90.00
Element x y z (fractional)
Sm  0.0000  0.0000  0.0000
Sm  0.0000  0.0000  0.5000
Y  0.5000  0.1281  0.2500
Y  0.5000  0.8719  0.7500
Er  0.3268  0.3765  0.6143
Er  0.3268  0.6235  0.1143
Er  0.6732  0.3765  0.8857
Er  0.6732  0.6235  0.3857
Th  0.0000  0.4580  0.2500
Th  0.0000  0.5420  0.7500

## Properties
E	-5.186	eV per atom
space-group type	P2/c, No. 13
energy of formation from the pure elements	0.360	eV per atom

Compound: Sm3YErTh
Source: Alexandria
Functional: PBE-GGA
Structure: relaxed

a b c (Å): 8.0294 5.0845 10.1615
angles (deg): 90.00 108.29 90.00
Element x y z (fractional)
Sm  0.1715  0.2500  0.0432
Sm  0.1775  0.7500  0.2935
Sm  0.1777  0.2500  0.5449
Sm  0.8223  0.7500  0.4551
Sm  0.8225  0.2500  0.7065
Sm  0.8285  0.7500  0.9568
Y  0.1704  0.7500  0.7927
Y  0.8296  0.2500  0.2073
Er  0.4988  0.2500  0.8722
Er  0.5012  0.7500  0.1278
Th  0.4998  0.2500  0.3772
Th  0.5002  0.7500  0.6228

## Properties
E	-5.404	eV per atom
space-group type	P2_1/m, No. 11
energy of formation from the pure elements	0.030	eV per atom

Compound: Sm3Y6ErTh2
Source: Alexandria
Functional: PBE-GGA
Structure: relaxed

a b c (Å): 6.2082 6.2082 11.8310
angles (deg): 95.03 95.03 119.97
Element x y z (fractional)
Sm  0.0000  0.0000  0.0000
Sm  0.3336  0.6664  0.0000
Sm  0.6664  0.3336  0.0000
Y  0.0813  0.4181  0.2543
Y  0.2451  0.2451  0.7462
Y  0.4181  0.0813  0.2543
Y  0.5819  0.9187  0.7457
Y  0.7549  0.7549  0.2538
Y  0.9187  0.5819  0.7457
Er  0.5000  0.5000  0.5000
Th  0.1666  0.8334  0.5000
Th  0.8334  0.1666  0.5000

## Properties
E	-6.009	eV per atom
space-group type	C2/m, No. 12
energy of formation from the pure elements	0.019	eV per atom

| no. | DOS at the Fermi energy (states/eV/atom) |
| --- | --- |
| 1 | 1.49 |
| 2 | 1.46 |
| 3 | 1.36 |